Computed, not measured: a relaxed structure of Na4FeO5 at the PBE+U level of DFT.

a b c (Å): 5.628 5.796 8.458
angles (deg): 109.60 101.45 101.11
Element x y z (fractional)
Na (0.000, 0.000, 0.000)
Na (0.079, 0.187, 0.703)
Na (0.194, 0.406, 0.407)
Na (0.311, 0.593, 0.096)
Na (0.500, 0.000, 0.500)
Na (0.689, 0.407, 0.904)
Na (0.806, 0.594, 0.593)
Na (0.921, 0.813, 0.297)
Fe (0.408, 0.828, 0.802)
Fe (0.592, 0.172, 0.198)
O (0.123, 0.617, 0.836)
O (0.200, 0.828, 0.602)
O (0.303, 0.027, 0.243)
O (0.377, 0.141, 0.956)
O (0.430, 0.497, 0.698)
O (0.570, 0.503, 0.302)
O (0.623, 0.859, 0.044)
O (0.697, 0.973, 0.757)
O (0.800, 0.172, 0.398)
O (0.877, 0.383, 0.164)

Properties
VASP energy   -47.47 eV/f.u.
Total magnetic moment   0.406 μB/atom